Entry a
First-principles (GGA-PBE) data for crystalline HfZrSb2 at its relaxed geometry, as listed in Alexandria.

Output
magnetic moment = 0.0 μB/cell

Unit cell a=3.994 b=3.994 c=7.540 alpha=74.64 beta=74.64 gamma=60.00
Atoms (fractional coordinates):
Hf 0.497 0.497 0.510
Zr 0.670 0.670 0.990
Sb 0.084 0.084 0.749
Sb 0.250 0.250 0.251


Entry b
First-principles (GGA-PBE) data for crystalline HfZrSb2 at its relaxed geometry, as listed in Alexandria.

Output
magnetic moment = 0.0 μB/cell

Unit cell a=4.118 b=4.118 c=7.168 alpha=73.31 beta=73.31 gamma=60.00
Atoms (fractional coordinates):
Hf 0.500 0.500 0.500
Zr 0.000 0.000 0.000
Sb 0.249 0.249 0.254
Sb 0.751 0.751 0.746


Entry c
First-principles (GGA-PBE) data for crystalline HfZrSb2 at its relaxed geometry, as listed in Alexandria.

Output
magnetic moment = 0.0 μB/cell

Unit cell a=3.375 b=5.158 c=5.158 alpha=90.00 beta=90.00 gamma=90.00
Atoms (fractional coordinates):
Sb 0.000 0.000 0.500
Sb 0.000 0.500 0.000
Hf 0.500 0.500 0.500
Zr 0.500 0.000 0.000


Most stable: entry a (next structure +58 meV per atom)


Entry a
First-principles (GGA-PBE) data for crystalline Hf2Sc3 at its relaxed geometry, as listed in Alexandria.

Output
magnetic moment = 0.0 μB/cell

Unit cell a=5.665 b=6.018 c=8.596 alpha=66.09 beta=70.76 gamma=61.92
Atoms (fractional coordinates):
Hf 0.765 0.750 0.052
Hf 0.567 0.750 0.448
Hf 0.433 0.250 0.552
Hf 0.235 0.250 0.948
Sc 0.362 0.756 0.850
Sc 0.968 0.744 0.650
Sc 0.834 0.250 0.750
Sc 0.166 0.750 0.250
Sc 0.032 0.256 0.350
Sc 0.638 0.244 0.150


Entry b
First-principles (GGA-PBE) data for crystalline Hf2Sc3 at its relaxed geometry, as listed in Alexandria.

Output
magnetic moment = 0.0 μB/cell

Unit cell a=5.652 b=5.652 c=8.544 alpha=112.29 beta=112.29 gamma=81.55
Atoms (fractional coordinates):
Hf 0.311 0.648 0.110
Hf 0.538 0.201 0.890
Hf 0.451 0.288 0.390
Hf 0.898 0.061 0.610
Sc 0.864 0.486 0.308
Sc 0.178 0.556 0.692
Sc 0.806 0.928 0.192
Sc 0.736 0.614 0.808
Sc 0.109 0.109 0.000
Sc 0.359 0.859 0.500


Most stable: entry a (next structure +180 meV per atom)


Entry a
First-principles (GGA-PBE) data for crystalline HfSc3 at its relaxed geometry, as listed in Alexandria.

Output
magnetic moment = 0.0 μB/cell

Unit cell a=3.255 b=5.105 c=5.694 alpha=90.00 beta=90.00 gamma=90.00
Atoms (fractional coordinates):
Sc 0.000 0.500 0.326
Sc 0.500 0.000 0.504
Sc 0.500 0.500 0.837
Hf 0.000 0.000 0.999


Entry b
First-principles (GGA-PBE) data for crystalline HfSc3 at its relaxed geometry, as listed in Alexandria.

Output
magnetic moment = 0.5 μB/cell

Unit cell a=5.121 b=5.121 c=5.121 alpha=60.00 beta=60.00 gamma=60.00
Each line ends with the local moment (μB).
Atoms (fractional coordinates):
Sc 0.000 0.000 0.000  0.04
Sc 0.750 0.750 0.750  0.09
Sc 0.250 0.250 0.250  0.09
Hf 0.500 0.500 0.500  0.12


Most stable: entry a (next structure +163 meV per atom)


Entry a
First-principles (GGA-PBE) data for crystalline HfSc3 at its relaxed geometry, as listed in Alexandria.

Output
magnetic moment = 0.0 μB/cell

Unit cell a=4.556 b=4.556 c=5.553 alpha=114.22 beta=114.22 gamma=90.00
Atoms (fractional coordinates):
Sc 0.750 0.250 0.500
Sc 0.250 0.750 0.500
Sc 0.500 0.500 0.000
Hf 0.000 0.000 0.000


Entry b
First-principles (GGA-PBE) data for crystalline HfSc3 at its relaxed geometry, as listed in Alexandria.

Output
magnetic moment = 0.0 μB/cell

Unit cell a=3.256 b=5.697 c=6.066 alpha=118.01 beta=105.57 gamma=90.00
Atoms (fractional coordinates):
Sc 0.252 0.585 0.504
Sc 0.500 0.503 0.000
Sc 0.748 0.081 0.496
Hf 0.000 0.997 0.000


Most stable: entry b (next structure +59 meV per atom)


Entry a
First-principles (GGA-PBE) data for crystalline Hf4Sc at its relaxed geometry, as listed in Alexandria.

Output
magnetic moment = 0.0 μB/cell

Unit cell a=4.146 b=4.146 c=7.624 alpha=105.78 beta=105.78 gamma=90.01
Atoms (fractional coordinates):
Hf 0.750 0.750 0.000
Hf 0.250 0.250 0.000
Hf 0.903 0.403 0.307
Hf 0.097 0.597 0.693
Sc 0.500 0.000 0.500


Entry b
First-principles (GGA-PBE) data for crystalline Hf4Sc at its relaxed geometry, as listed in Alexandria.

Output
magnetic moment = 0.0 μB/cell

Unit cell a=4.945 b=4.945 c=4.945 alpha=90.00 beta=90.00 gamma=90.00
Atoms (fractional coordinates):
Sc 0.500 0.500 0.500
Hf 0.000 0.000 0.000
Hf 0.500 0.000 0.500
Hf 0.000 0.500 0.500
Hf 0.500 0.500 0.000


Most stable: entry a (next structure +797 meV per atom)


Entry a
First-principles (GGA-PBE) data for crystalline HfSc4 at its relaxed geometry, as listed in Alexandria.

Output
magnetic moment = 0.0 μB/cell

Unit cell a=5.378 b=5.859 c=8.383 alpha=90.00 beta=90.00 gamma=113.27
Atoms (fractional coordinates):
Hf 0.250 0.000 0.896
Hf 0.750 0.000 0.104
Sc 0.972 0.260 0.425
Sc 0.568 0.681 0.820
Sc 0.432 0.319 0.180
Sc 0.028 0.740 0.575
Sc 0.932 0.319 0.820
Sc 0.472 0.260 0.575
Sc 0.528 0.740 0.425
Sc 0.068 0.681 0.180


Entry b
First-principles (GGA-PBE) data for crystalline HfSc4 at its relaxed geometry, as listed in Alexandria.

Output
magnetic moment = 0.0 μB/cell

Unit cell a=6.353 b=5.812 c=8.620 alpha=64.02 beta=68.38 gamma=56.87
Atoms (fractional coordinates):
Hf 0.750 0.000 0.000
Hf 0.250 0.000 0.000
Sc 0.802 0.604 0.793
Sc 0.302 0.604 0.793
Sc 0.848 0.197 0.606
Sc 0.348 0.197 0.606
Sc 0.652 0.803 0.394
Sc 0.152 0.803 0.394
Sc 0.698 0.396 0.207
Sc 0.198 0.396 0.207


Most stable: entry b (next structure +151 meV per atom)